# 1
Below is a relaxed Zr8TcSn2 crystal, with properties calculated at the GGA-PBE level.

a = 4.7454 Å, b = 6.0042 Å, c = 9.4944 Å
α = 106.23°, β = 104.47°, γ = 90.00°
Atoms (fractional coordinates):
Tc 0.5000 0.0000 0.0000
Sn 0.8177 0.2279 0.6354
Sn 0.1823 0.7721 0.3646
Zr 0.3543 0.9694 0.7087
Zr 0.7744 0.6652 0.5489
Zr 0.2256 0.3348 0.4511
Zr 0.5868 0.4877 0.1735
Zr 0.9781 0.2257 0.9561
Zr 0.6457 0.0306 0.2913
Zr 0.4132 0.5123 0.8265
Zr 0.0219 0.7743 0.0439

Crystal system: monoclinic
Space group: No. 12
Spin magnetization in μB per cell: 0.0
Energy of formation from the pure elements in eV/atom: -0.208

# 2
Below is a relaxed Nd8Cu2Ir crystal, with properties calculated at the GGA-PBE level.

a = 5.1866 Å, b = 6.8989 Å, c = 9.3237 Å
α = 101.66°, β = 106.15°, γ = 90.00°
Atoms (fractional coordinates):
Cu 0.1911 0.7407 0.3821
Cu 0.8089 0.2593 0.6179
Nd 0.3361 0.0286 0.6721
Nd 0.2010 0.3361 0.4019
Nd 0.4120 0.5628 0.8241
Nd 0.0330 0.7885 0.0661
Nd 0.6639 0.9714 0.3279
Nd 0.7990 0.6639 0.5981
Nd 0.5880 0.4372 0.1759
Nd 0.9670 0.2115 0.9339
Ir 0.5000 0.0000 0.0000

Crystal system: monoclinic
Space group: No. 12
Spin magnetization in μB per cell: 0.0
Energy of formation from the pure elements in eV/atom: -0.172

# 3
Below is a relaxed SmLuZnHg crystal, with properties calculated at the GGA-PBE level.

a = 5.1748 Å, b = 5.1748 Å, c = 5.1748 Å
α = 60.00°, β = 60.00°, γ = 60.00°
Atoms (fractional coordinates):
Zn 0.0000 0.0000 0.0000
Hg 0.5000 0.5000 0.5000
Lu 0.7500 0.7500 0.7500
Sm 0.2500 0.2500 0.2500

Crystal system: cubic
Space group: No. 216
Spin magnetization in μB per cell: 0.0
Energy of formation from the pure elements in eV/atom: -0.379

Q: Number 2 is which compound?
A: Nd8Cu2Ir